Record 1
Here is an optimized crystal structure of BaLiGa2 from Alexandria via LeMat-Bulk. Energies are from GGA-PBE.

The structure in POSCAR format:
```
BaLiGa2
1.0
-4.725 -0.118 2.401
-1.950 4.396 2.231
-4.149 2.468 -2.191
Ga Ba Li
2 1 1
direct
0.250 0.250 0.250
0.750 0.750 0.750
0.500 0.500 0.500
0.000 0.000 0.000
```

Summary:
N(E_F) in states/eV per cell: 2.47
E_form in eV/atom: -0.18

***

Record 2
Here is an optimized crystal structure of Ba3Li2Ga8 from Alexandria via LeMat-Bulk. Energies are from GGA-PBE.

The structure in POSCAR format:
```
Ba3Li2Ga8
1.0
6.735 0.584 3.381
3.414 5.835 3.380
1.577 0.997 10.379
Li Ga Ba
2 8 3
direct
0.456 0.456 0.672
0.544 0.544 0.328
0.341 0.903 0.628
0.298 0.298 0.616
0.903 0.341 0.628
0.497 0.497 0.126
0.659 0.097 0.372
0.702 0.702 0.384
0.097 0.659 0.372
0.503 0.503 0.874
0.000 0.000 0.000
0.185 0.185 0.265
0.815 0.815 0.735
```

Summary:
N(E_F) in states/eV per cell: 5.19
E_form in eV/atom: -0.37

***

Record 3
Here is an optimized crystal structure of Ba2LiGa7 from Alexandria via LeMat-Bulk. Energies are from GGA-PBE.

The structure in POSCAR format:
```
Ba2LiGa7
1.0
4.588 0.000 0.000
0.000 4.588 0.000
0.000 0.000 11.038
Ga Ba Li
7 2 1
direct
0.000 0.500 0.871
0.500 0.000 0.129
0.000 0.500 0.630
0.000 0.000 0.000
0.500 0.500 0.500
0.000 0.000 0.500
0.500 0.000 0.370
0.000 0.500 0.255
0.500 0.000 0.745
0.500 0.500 0.000
```

Summary:
N(E_F) in states/eV per cell: 4.69
E_form in eV/atom: -0.42

***

Record 4
Here is an optimized crystal structure of Ba2Li2Ga from Alexandria via LeMat-Bulk. Energies are from GGA-PBE.

The structure in POSCAR format:
```
Ba2Li2Ga
1.0
7.601 0.000 0.000
0.000 7.601 0.000
0.000 0.000 5.500
Ba Li Ga
4 4 2
direct
0.804 0.304 0.500
0.696 0.804 0.500
0.304 0.196 0.500
0.196 0.696 0.500
0.865 0.635 0.000
0.135 0.365 0.000
0.635 0.135 0.000
0.365 0.865 0.000
0.000 0.000 0.000
0.500 0.500 0.000
```

Summary:
N(E_F) in states/eV per cell: 12.38
E_form in eV/atom: -0.03

***

Record 5
Here is an optimized crystal structure of BaLiGa from Alexandria via LeMat-Bulk. Energies are from GGA-PBE.

The structure in POSCAR format:
```
BaLiGa
1.0
-0.200 3.788 -0.940
-3.010 0.449 2.451
5.270 -0.865 3.515
Li Ga Ba
1 1 1
direct
0.660 0.660 0.320
0.249 0.249 0.498
0.941 0.941 0.881
```

Summary:
N(E_F) in states/eV per cell: 1.70
E_form in eV/atom: -0.15

***

Record 6
Here is an optimized crystal structure of BaLiGa2 from Alexandria via LeMat-Bulk. Energies are from GGA-PBE.

The structure in POSCAR format:
```
BaLiGa2
1.0
7.252 0.000 0.000
0.000 7.944 0.000
0.000 0.000 7.364
Ga Ba Li
8 4 4
direct
0.927 0.140 0.940
0.573 0.640 0.560
0.927 0.640 0.560
0.573 0.140 0.940
0.073 0.360 0.440
0.073 0.860 0.060
0.427 0.360 0.440
0.427 0.860 0.060
0.250 0.986 0.635
0.750 0.514 0.135
0.750 0.014 0.365
0.250 0.486 0.865
0.750 0.839 0.828
0.250 0.161 0.172
0.250 0.661 0.328
0.750 0.339 0.672
```

Summary:
N(E_F) in states/eV per cell: 14.70
E_form in eV/atom: -0.30

***

Record 7
Here is an optimized crystal structure of Ba2Li17Ga3 from Alexandria via LeMat-Bulk. Energies are from GGA-PBE.

The structure in POSCAR format:
```
Ba2Li17Ga3
1.0
8.113 -0.067 0.796
0.715 8.082 0.796
-0.073 -0.067 8.152
Li Ga Ba
17 3 2
direct
0.176 0.671 0.671
0.737 0.000 0.263
0.000 0.000 0.500
0.737 0.263 0.000
0.329 0.329 0.824
0.000 0.263 0.737
0.000 0.500 0.000
0.500 0.000 0.000
0.263 0.000 0.737
0.263 0.737 0.000
0.671 0.176 0.671
0.000 0.737 0.263
0.088 0.088 0.088
0.824 0.329 0.329
0.671 0.671 0.176
0.329 0.824 0.329
0.912 0.912 0.912
0.000 0.500 0.500
0.500 0.500 0.000
0.500 0.000 0.500
0.673 0.673 0.673
0.327 0.327 0.327
```

Summary:
N(E_F) in states/eV per cell: 11.40
E_form in eV/atom: -0.01

***

Record 8
Here is an optimized crystal structure of Ba2LiGa2 from Alexandria via LeMat-Bulk. Energies are from GGA-PBE.

The structure in POSCAR format:
```
Ba2LiGa2
1.0
4.368 0.000 -1.653
-1.137 5.924 -3.005
-0.008 -0.499 6.576
Ga Li Ba
2 1 2
direct
0.500 0.192 0.000
0.500 0.808 0.000
0.000 0.000 0.000
0.823 0.323 0.647
0.177 0.677 0.353
```

Summary:
N(E_F) in states/eV per cell: 4.48
E_form in eV/atom: -0.28

***

Record 9
Here is an optimized crystal structure of BaLi4Ga4 from Alexandria via LeMat-Bulk. Energies are from GGA-PBE.

The structure in POSCAR format:
```
BaLi4Ga4
1.0
-4.025 0.742 1.773
-3.826 -0.533 -8.461
-1.196 -9.156 1.118
Li Ga Ba
8 8 2
direct
0.500 0.094 0.394
0.500 0.606 0.094
0.000 0.594 0.894
0.000 0.894 0.406
0.500 0.906 0.606
0.000 0.406 0.106
0.000 0.106 0.594
0.500 0.394 0.906
0.500 0.717 0.818
0.000 0.318 0.783
0.000 0.217 0.318
0.500 0.818 0.283
0.500 0.283 0.182
0.000 0.783 0.682
0.000 0.682 0.217
0.500 0.182 0.717
0.500 0.500 0.500
0.000 0.000 0.000
```

Summary:
N(E_F) in states/eV per cell: 8.84
E_form in eV/atom: -0.25

***

Record 10
Here is an optimized crystal structure of Ba2Li2Ga from Alexandria via LeMat-Bulk. Energies are from GGA-PBE.

The structure in POSCAR format:
```
Ba2Li2Ga
1.0
-0.319 4.532 0.886
-2.286 1.470 3.747
7.499 1.558 6.823
Ga Li Ba
1 2 2
direct
0.000 0.000 0.000
0.318 0.318 0.047
0.682 0.682 0.953
0.573 0.573 0.281
0.427 0.427 0.719
```

Summary:
N(E_F) in states/eV per cell: 3.58
E_form in eV/atom: -0.11

***

Record 11
Here is an optimized crystal structure of Ba2Li2Ga from Alexandria via LeMat-Bulk. Energies are from GGA-PBE.

The structure in POSCAR format:
```
Ba2Li2Ga
1.0
4.101 0.000 0.000
0.000 4.101 0.000
2.051 2.051 10.522
Li Ba Ga
2 2 1
direct
0.750 0.250 0.500
0.250 0.750 0.500
0.406 0.406 0.187
0.594 0.594 0.813
0.000 0.000 0.000
```

Summary:
N(E_F) in states/eV per cell: 3.85
E_form in eV/atom: -0.09

***

Record 12
Here is an optimized crystal structure of Ba2LiGa from Alexandria via LeMat-Bulk. Energies are from GGA-PBE.

The structure in POSCAR format:
```
Ba2LiGa
1.0
-2.889 -1.853 2.054
-3.214 -1.422 -1.909
3.943 -12.308 -1.663
Ba Li Ga
2 1 1
direct
0.088 0.088 0.735
0.912 0.912 0.265
0.500 0.500 0.500
0.000 0.000 0.000
```

Summary:
N(E_F) in states/eV per cell: 5.94
E_form in eV/atom: 0.38